No. 1
Entry from the Alexandria database: an optimized crystal structure of Pm3Dy5Se8 (GGA-PBE).

The structure in CIF format:
```
data_Pm3Dy5Se8
_chemical_formula_sum 'Pm3 Dy5 Se8'
_cell_length_a 8.214
_cell_length_b 8.214
_cell_length_c 8.276
_cell_angle_alpha 60.25
_cell_angle_beta 60.25
_cell_angle_gamma 60.00
_space_group_name_H-M_alt 'P 1'
_space_group_IT_number 1
loop_
_space_group_symop_operation_xyz
'x,y,z'
loop_
_atom_site_label
_atom_site_type_symbol
_atom_site_fract_x
_atom_site_fract_y
_atom_site_fract_z
Pm1 Pm 0.500 0.000 0.500
Pm2 Pm 0.000 0.000 0.500
Pm3 Pm 0.000 0.500 0.500
Dy1 Dy 0.500 0.000 0.000
Dy2 Dy 0.500 0.500 0.000
Dy3 Dy 0.000 0.000 0.000
Dy4 Dy 0.000 0.500 0.000
Dy5 Dy 0.500 0.500 0.500
Se1 Se 0.250 0.250 0.758
Se2 Se 0.250 0.742 0.758
Se3 Se 0.742 0.250 0.758
Se4 Se 0.746 0.746 0.762
Se5 Se 0.750 0.750 0.242
Se6 Se 0.750 0.258 0.242
Se7 Se 0.258 0.750 0.242
Se8 Se 0.254 0.254 0.238
```

space-group type = R-3m
crystal system = trigonal
DOS(E_F) = 10.18 states/eV/cell

=====

No. 2
Entry from the Alexandria database: an optimized crystal structure of PmDy2Se4 (GGA-PBE).

The structure in CIF format:
```
data_PmDy2Se4
_chemical_formula_sum 'Pm2 Dy4 Se8'
_cell_length_a 4.016
_cell_length_b 7.038
_cell_length_c 13.865
_cell_angle_alpha 90.00
_cell_angle_beta 90.00
_cell_angle_gamma 106.57
_space_group_name_H-M_alt 'P 1'
_space_group_IT_number 1
loop_
_space_group_symop_operation_xyz
'x,y,z'
loop_
_atom_site_label
_atom_site_type_symbol
_atom_site_fract_x
_atom_site_fract_y
_atom_site_fract_z
Pm1 Pm 0.625 0.250 0.750
Pm2 Pm 0.375 0.750 0.250
Dy1 Dy 0.130 0.261 0.431
Dy2 Dy 0.870 0.739 0.931
Dy3 Dy 0.130 0.261 0.069
Dy4 Dy 0.870 0.739 0.569
Se1 Se 0.775 0.550 0.120
Se2 Se 0.775 0.550 0.380
Se3 Se 0.225 0.450 0.880
Se4 Se 0.225 0.450 0.620
Se5 Se 0.964 0.928 0.750
Se6 Se 0.036 0.072 0.250
Se7 Se 0.500 0.000 0.000
Se8 Se 0.500 0.000 0.500
```

space-group type = Cmcm
crystal system = orthorhombic
offset from the most stable computed form = 0 meV/atom
DOS(E_F) = 3.95 states/eV/cell

=====

No. 3
Entry from the Alexandria database: an optimized crystal structure of Pm2DySe4 (GGA-PBE).

The structure in CIF format:
```
data_Pm2DySe4
_chemical_formula_sum 'Pm4 Dy2 Se8'
_cell_length_a 8.292
_cell_length_b 8.245
_cell_length_c 8.245
_cell_angle_alpha 60.81
_cell_angle_beta 59.81
_cell_angle_gamma 59.81
_space_group_name_H-M_alt 'P 1'
_space_group_IT_number 1
loop_
_space_group_symop_operation_xyz
'x,y,z'
loop_
_atom_site_label
_atom_site_type_symbol
_atom_site_fract_x
_atom_site_fract_y
_atom_site_fract_z
Pm1 Pm 0.000 0.000 0.000
Pm2 Pm 0.000 0.000 0.500
Pm3 Pm 0.000 0.500 0.500
Pm4 Pm 0.500 0.000 0.500
Dy1 Dy 0.500 0.500 0.000
Dy2 Dy 0.000 0.500 0.000
Se1 Se 0.257 0.249 0.237
Se2 Se 0.743 0.263 0.251
Se3 Se 0.257 0.737 0.749
Se4 Se 0.743 0.751 0.763
Se5 Se 0.753 0.747 0.247
Se6 Se 0.747 0.253 0.753
Se7 Se 0.253 0.747 0.247
Se8 Se 0.247 0.253 0.753
```

space-group type = Imma
crystal system = orthorhombic
offset from the most stable computed form = 0 meV/atom
DOS(E_F) = 4.14 states/eV/cell

=====

No. 4
Entry from the Alexandria database: an optimized crystal structure of PmDy2Se4 (GGA-PBE).

The structure in CIF format:
```
data_PmDy2Se4
_chemical_formula_sum 'Pm1 Dy2 Se4'
_cell_length_a 4.130
_cell_length_b 7.141
_cell_length_c 8.151
_cell_angle_alpha 117.42
_cell_angle_beta 104.67
_cell_angle_gamma 90.00
_space_group_name_H-M_alt 'P 1'
_space_group_IT_number 1
loop_
_space_group_symop_operation_xyz
'x,y,z'
loop_
_atom_site_label
_atom_site_type_symbol
_atom_site_fract_x
_atom_site_fract_y
_atom_site_fract_z
Pm1 Pm 0.000 0.000 0.000
Dy1 Dy 0.264 0.255 0.529
Dy2 Dy 0.736 0.745 0.471
Se1 Se 0.128 0.804 0.255
Se2 Se 0.872 0.196 0.745
Se3 Se 0.361 0.716 0.723
Se4 Se 0.639 0.284 0.277
```

space-group type = C2/m
crystal system = monoclinic
offset from the most stable computed form = 23 meV/atom
DOS(E_F) = 2.56 states/eV/cell

=====

No. 5
Entry from the Alexandria database: an optimized crystal structure of PmDy6Se8 (GGA-PBE).

The structure in CIF format:
```
data_PmDy6Se8
_chemical_formula_sum 'Pm1 Dy6 Se8'
_cell_length_a 7.726
_cell_length_b 7.726
_cell_length_c 7.726
_cell_angle_alpha 93.00
_cell_angle_beta 93.00
_cell_angle_gamma 93.00
_space_group_name_H-M_alt 'P 1'
_space_group_IT_number 1
loop_
_space_group_symop_operation_xyz
'x,y,z'
loop_
_atom_site_label
_atom_site_type_symbol
_atom_site_fract_x
_atom_site_fract_y
_atom_site_fract_z
Pm1 Pm 0.000 0.000 0.000
Dy1 Dy 0.600 0.438 0.810
Dy2 Dy 0.438 0.810 0.600
Dy3 Dy 0.810 0.600 0.438
Dy4 Dy 0.400 0.562 0.190
Dy5 Dy 0.562 0.190 0.400
Dy6 Dy 0.190 0.400 0.562
Se1 Se 0.770 0.770 0.770
Se2 Se 0.230 0.230 0.230
Se3 Se 0.634 0.860 0.273
Se4 Se 0.860 0.273 0.634
Se5 Se 0.273 0.634 0.860
Se6 Se 0.366 0.140 0.727
Se7 Se 0.140 0.727 0.366
Se8 Se 0.727 0.366 0.140
```

space-group type = R-3
crystal system = trigonal
offset from the most stable computed form = 365 meV/atom
DOS(E_F) = 12.14 states/eV/cell

=====

No. 6
Entry from the Alexandria database: an optimized crystal structure of PmDy4Se6 (GGA-PBE).

The structure in CIF format:
```
data_PmDy4Se6
_chemical_formula_sum 'Pm2 Dy8 Se12'
_cell_length_a 4.022
_cell_length_b 6.995
_cell_length_c 20.810
_cell_angle_alpha 90.00
_cell_angle_beta 90.00
_cell_angle_gamma 106.71
_space_group_name_H-M_alt 'P 1'
_space_group_IT_number 1
loop_
_space_group_symop_operation_xyz
'x,y,z'
loop_
_atom_site_label
_atom_site_type_symbol
_atom_site_fract_x
_atom_site_fract_y
_atom_site_fract_z
Pm1 Pm 0.654 0.307 0.250
Pm2 Pm 0.346 0.693 0.750
Dy1 Dy 0.860 0.719 0.538
Dy2 Dy 0.410 0.820 0.126
Dy3 Dy 0.140 0.281 0.462
Dy4 Dy 0.590 0.180 0.874
Dy5 Dy 0.860 0.719 0.962
Dy6 Dy 0.140 0.281 0.038
Dy7 Dy 0.590 0.180 0.626
Dy8 Dy 0.410 0.820 0.374
Se1 Se 0.500 0.000 0.000
Se2 Se 0.500 0.000 0.500
Se3 Se 0.051 0.101 0.335
Se4 Se 0.949 0.899 0.665
Se5 Se 0.949 0.899 0.835
Se6 Se 0.051 0.101 0.165
Se7 Se 0.768 0.537 0.410
Se8 Se 0.232 0.463 0.590
Se9 Se 0.232 0.463 0.910
Se10 Se 0.768 0.537 0.090
Se11 Se 0.315 0.630 0.250
Se12 Se 0.685 0.370 0.750
```

space-group type = Cmcm
crystal system = orthorhombic
DOS(E_F) = 5.72 states/eV/cell

=====

No. 7
Entry from the Alexandria database: an optimized crystal structure of Pm2Dy4Se9 (GGA-PBE).

The structure in CIF format:
```
data_Pm2Dy4Se9
_chemical_formula_sum 'Pm4 Dy8 Se18'
_cell_length_a 7.273
_cell_length_b 7.274
_cell_length_c 19.600
_cell_angle_alpha 90.01
_cell_angle_beta 90.03
_cell_angle_gamma 60.03
_space_group_name_H-M_alt 'P 1'
_space_group_IT_number 1
loop_
_space_group_symop_operation_xyz
'x,y,z'
loop_
_atom_site_label
_atom_site_type_symbol
_atom_site_fract_x
_atom_site_fract_y
_atom_site_fract_z
Pm1 Pm 0.999 0.001 0.350
Pm2 Pm 0.000 0.999 0.149
Pm3 Pm 0.001 0.999 0.650
Pm4 Pm 0.000 0.001 0.851
Dy1 Dy 0.333 0.333 0.986
Dy2 Dy 0.334 0.333 0.487
Dy3 Dy 0.667 0.667 0.014
Dy4 Dy 0.332 0.334 0.182
Dy5 Dy 0.666 0.667 0.513
Dy6 Dy 0.666 0.667 0.318
Dy7 Dy 0.334 0.333 0.682
Dy8 Dy 0.668 0.666 0.818
Se1 Se 0.001 0.309 0.750
Se2 Se 0.309 0.691 0.750
Se3 Se 0.692 0.000 0.750
Se4 Se 0.999 0.691 0.250
Se5 Se 0.691 0.309 0.250
Se6 Se 0.308 0.000 0.250
Se7 Se 0.655 0.974 0.416
Se8 Se 0.973 0.372 0.417
Se9 Se 0.370 0.656 0.416
Se10 Se 0.627 0.028 0.084
Se11 Se 0.345 0.628 0.084
Se12 Se 0.028 0.343 0.083
Se13 Se 0.345 0.026 0.584
Se14 Se 0.027 0.628 0.583
Se15 Se 0.630 0.344 0.584
Se16 Se 0.373 0.972 0.916
Se17 Se 0.655 0.372 0.916
Se18 Se 0.972 0.657 0.917
```

space-group type = P-1
crystal system = triclinic
DOS(E_F) = 0.00 states/eV/cell

=====

No. 8
Entry from the Alexandria database: an optimized crystal structure of PmDySiSe (GGA-PBE).

The structure in CIF format:
```
data_PmDySiSe
_chemical_formula_sum 'Pm1 Dy1 Si1 Se1'
_cell_length_a 4.159
_cell_length_b 4.159
_cell_length_c 7.297
_cell_angle_alpha 73.44
_cell_angle_beta 73.44
_cell_angle_gamma 60.00
_space_group_name_H-M_alt 'P 1'
_space_group_IT_number 1
loop_
_space_group_symop_operation_xyz
'x,y,z'
loop_
_atom_site_label
_atom_site_type_symbol
_atom_site_fract_x
_atom_site_fract_y
_atom_site_fract_z
Pm1 Pm 0.690 0.690 0.931
Dy1 Dy 0.198 0.198 0.406
Si1 Si 0.942 0.942 0.174
Se1 Se 0.447 0.447 0.660
```

space-group type = R3m
crystal system = trigonal
DOS(E_F) = 1.38 states/eV/cell

=====

No. 9
Entry from the Alexandria database: an optimized crystal structure of PmSm3Dy2Se6 (GGA-PBE).

The structure in CIF format:
```
data_PmSm3Dy2Se6
_chemical_formula_sum 'Pm1 Sm3 Dy2 Se6'
_cell_length_a 7.178
_cell_length_b 7.178
_cell_length_c 7.194
_cell_angle_alpha 99.53
_cell_angle_beta 99.53
_cell_angle_gamma 120.26
_space_group_name_H-M_alt 'P 1'
_space_group_IT_number 1
loop_
_space_group_symop_operation_xyz
'x,y,z'
loop_
_atom_site_label
_atom_site_type_symbol
_atom_site_fract_x
_atom_site_fract_y
_atom_site_fract_z
Pm1 Pm 0.000 0.000 0.000
Sm1 Sm 0.162 0.838 0.500
Sm2 Sm 0.838 0.162 0.500
Sm3 Sm 0.500 0.500 0.500
Dy1 Dy 0.334 0.666 0.000
Dy2 Dy 0.666 0.334 0.000
Se1 Se 0.918 0.577 0.754
Se2 Se 0.740 0.740 0.242
Se3 Se 0.082 0.423 0.246
Se4 Se 0.577 0.918 0.754
Se5 Se 0.260 0.260 0.758
Se6 Se 0.423 0.082 0.246
```

space-group type = C2/m
crystal system = monoclinic
DOS(E_F) = 5.48 states/eV/cell

=====

Number 1: ΔE_f (raw) -1777 meV per atom. Number 2: ΔE_f (raw) -1861 meV per atom. Number 3: ΔE_f (raw) -1872 meV per atom. Number 4: ΔE_f (raw) -1838 meV per atom. Number 5: ΔE_f (raw) -1466 meV per atom. Number 6: ΔE_f (raw) -1834 meV per atom. Number 7: ΔE_f (raw) -1857 meV per atom. Number 8: ΔE_f (raw) -1300 meV per atom. Number 9: ΔE_f (raw) -1800 meV per atom.